a.
VASP calculation (PBE-GGA) on crystalline CdSeS2N at its relaxed geometry.

The structure belongs to space group P4/mmm (No. 123); the cell edges are 5.088, 5.088 and 4.167 Å and the angles 90.00°, 90.00° and 90.00°. The inequivalent atoms are Cd at (0.000, 0.000, 0.000), Se at (0.500, 0.500, 0.500), S at (0.000, 0.500, 0.000) and N at (0.000, 0.000, 0.500).

As for the total magnetization: 1.9 μB per cell.

=====

b.
VASP calculation (PBE-GGA) on crystalline CdSeS2N at its relaxed geometry.

The structure belongs to space group P4/mmm (No. 123); the cell edges are 4.976, 4.976 and 3.734 Å and the angles 90.00°, 90.00° and 90.00°. The inequivalent atoms are Cd at (0.000, 0.000, 0.000), Se at (0.500, 0.500, 0.500), S at (0.000, 0.500, 0.500) and N at (0.500, 0.500, 0.000).

As for the total magnetization: 1.0 μB per cell.

=====

If you had to bet on the most stable structure above, which would it be? Bet on b.